(1)
Here is a geometry-optimized SiHgTe2 structure from Alexandria. Energies are from PBE.

Unit cell a=6.156 b=6.156 c=8.580 alpha=68.98 beta=68.98 gamma=90.00
Element x y z (fractional)
Si  0.500  0.500  0.000
Si  0.250  0.750  0.500
Te  0.594  0.125  0.250
Te  0.156  0.625  0.250
Te  0.375  0.406  0.750
Te  0.875  0.844  0.750
Hg  0.000  0.000  0.000
Hg  0.750  0.250  0.500

Space-group type: I-42d (122)
Formation energy without anion corrections (eV per formula unit): 0.80
Magnetic moment (μB/atom): 0.00
ΔE to the lowest computed polymorph (meV per atom): 142.5
Theoretical density (g/cm3): 5.74

(2)
Here is a geometry-optimized PmNiH6Rh structure from Alexandria. Energies are from PBE.

Unit cell a=4.626 b=4.626 c=4.181 alpha=90.00 beta=90.00 gamma=60.00
Element x y z (fractional)
Pm  0.000  0.000  0.000
Ni  0.667  0.667  0.500
H  0.988  0.505  0.246
H  0.505  0.988  0.754
H  0.506  0.505  0.754
H  0.988  0.506  0.754
H  0.505  0.506  0.246
H  0.506  0.988  0.246
Rh  0.333  0.333  0.500

Space-group type: P-6m2 (187)
Magnetic moment (μB/atom): 0.00
DFT total energy (eV/atom): -4.589
Theoretical density (g/cm3): 6.70

(3)
Here is a geometry-optimized Mo2PBr structure from Alexandria. Energies are from PBE.

Unit cell a=7.024 b=7.024 c=7.024 alpha=152.33 beta=153.94 gamma=38.37
Element x y z (fractional)
Br  0.295  0.795  0.500
Mo  0.990  0.990  0.000
Mo  0.671  0.171  0.500
P  0.543  0.543  0.000

Space-group type: Imm2 (44)
Formation energy without anion corrections (eV per formula unit): 0.19
Magnetic moment (μB/atom): 0.00
ΔE to the lowest computed polymorph (meV per atom): 6.7
Theoretical density (g/cm3): 7.12

(4)
Here is a geometry-optimized CeNdRu4 structure from Alexandria. Energies are from PBE.

Unit cell a=5.393 b=5.393 c=5.393 alpha=60.00 beta=60.00 gamma=60.00
Element x y z (fractional)
Ru  0.625  0.625  0.125
Ru  0.625  0.125  0.625
Ru  0.625  0.625  0.625
Ru  0.125  0.625  0.625
Nd  0.250  0.250  0.250
Ce  0.000  0.000  0.000

Space-group type: F-43m (216)
Magnetic moment (μB/atom): 0.00
DFT total energy (eV/atom): -8.176
Theoretical density (g/cm3): 10.31

(5)
Here is a geometry-optimized Dy2Ho3Hg3 structure from Alexandria. Energies are from PBE.

Unit cell a=3.723 b=5.276 c=11.459 alpha=103.31 beta=99.35 gamma=90.00
Element x y z (fractional)
Dy  0.732  0.232  0.464
Dy  0.268  0.768  0.536
Ho  0.621  0.621  0.242
Ho  0.379  0.379  0.758
Ho  0.500  0.000  0.000
Hg  0.118  0.118  0.236
Hg  0.000  0.500  0.000
Hg  0.882  0.882  0.764

Space-group type: Immm (71)
Magnetic moment (μB/atom): 0.00
DFT total energy (eV/atom): -3.338
Theoretical density (g/cm3): 10.93

(6)
Here is a geometry-optimized Na2CeSeO6 structure from Alexandria. Energies are from PBE.

Unit cell a=4.482 b=5.610 c=5.610 alpha=90.00 beta=90.00 gamma=90.00
Element x y z (fractional)
Na  0.048  0.500  0.000
Na  0.048  0.000  0.500
Ce  0.625  0.500  0.500
Se  0.594  0.000  0.000
O  0.689  0.220  0.220
O  0.689  0.220  0.780
O  0.154  0.500  0.500
O  0.223  0.000  0.000
O  0.689  0.780  0.780
O  0.689  0.780  0.220

Space-group type: P4mm (99)
Formation energy without anion corrections (eV per formula unit): -17.44
Magnetic moment (μB/atom): 0.00
Theoretical density (g/cm3): 4.25